No. 1
First-principles (GGA-PBE) data for crystalline Dy2RePbO8 at its relaxed geometry, as listed in the Alexandria database.

Lattice parameters (Å, degrees): 5.009 6.937 5.013 90.00 91.40 90.00
Space group P2/m (No. 10)
Inequivalent atoms, fractional coordinates:
Dy (0.000, 0.245, 0.000)
Re (0.500, 0.000, 0.500)
Pb (0.500, 0.500, 0.500)
O (0.188, 0.500, 0.187)
O (0.228, 0.000, 0.227)
O (0.316, 0.201, 0.682)

Computed properties:
DFT total energy   -92.01 eV/f.u.
ΔE_f (raw)   -2.248 eV/atom



No. 2
First-principles (GGA-PBE) data for crystalline Pr2Zn3Pt4Pb at its relaxed geometry, as listed in the Alexandria database.

Lattice parameters (Å, degrees): 4.190 4.190 11.676 90.00 90.00 90.00
Space group P-4m2 (No. 115)
Inequivalent atoms, fractional coordinates:
Pr (0.000, 0.500, 0.233)
Zn (0.000, 0.500, 0.875)
Zn (0.500, 0.500, 0.500)
Pt (0.000, 0.000, 0.000)
Pt (0.000, 0.500, 0.662)
Pt (0.500, 0.500, 0.000)
Pb (0.000, 0.000, 0.500)

Computed properties:
DFT total energy   -48.12 eV/f.u.
Energy relative to the elements   -0.687 eV/atom



No. 3
First-principles (GGA-PBE) data for crystalline Pr2InO at its relaxed geometry, as listed in the Alexandria database.

Lattice parameters (Å, degrees): 3.7566 3.7566 23.9248 90.00 90.00 120.00
Space group R-3m (No. 166, hexagonal axes)
Inequivalent atoms, fractional coordinates:
Pr (0.0000, 0.0000, 0.2243)
In (0.0000, 0.0000, 0.0000)
O (0.0000, 0.0000, 0.5000)

Computed properties:
Offset from the most stable computed form   4.5 kJ per mole of atoms
DFT total energy   -23.26 eV/f.u.
ΔE_f (raw)   -1.502 eV/atom



No. 4
First-principles (GGA-PBE) data for crystalline Al2SiAgPt at its relaxed geometry, as listed in the Alexandria database.

Lattice parameters (Å, degrees): 4.673 4.673 4.643 90.00 90.00 90.00
Space group P4/mmm (No. 123)
Inequivalent atoms, fractional coordinates:
Al (0.000, 0.500, 0.000)
Si (0.000, 0.000, 0.000)
Ag (0.000, 0.000, 0.500)
Pt (0.500, 0.500, 0.500)

Computed properties:
DFT total energy   -18.75 eV/f.u.
ΔE_f (raw)   0.610 eV/atom